No. 1
Entry from the Alexandria database: crystalline LiInPb at its relaxed geometry (GGA-PBE).

Cell and atoms, written as extended XYZ:
```
6
Lattice="6.864 -1.620 0.000 6.864 1.620 0.000 -2.051 0.000 6.620" Properties=species:S:1:pos:R:3 pbc="T T T"
Li -0.401 0.000 1.533
Li 12.078 0.000 5.086
In 2.829 0.000 6.104
In 8.848 0.000 0.515
Pb 3.961 0.000 2.709
Pb 7.716 0.000 3.910
```

Values from the calculation:
Final energy, eV/atom: -2.9182
Fermi-level density of states, states/eV/f.u.: 1.22

---

No. 2
Entry from the Alexandria database: crystalline BeAlCrCl2 at its relaxed geometry (GGA-PBE).

Cell and atoms, written as extended XYZ:
```
5
Lattice="4.177 0.000 0.000 0.000 4.177 0.000 0.000 0.000 6.541" Properties=species:S:1:pos:R:3 pbc="T T T"
Be 0.000 0.000 0.000
Al 2.088 2.088 3.270
Cr 0.000 0.000 3.270
Cl 0.000 2.088 0.000
Cl 2.088 0.000 0.000
```

Values from the calculation:
Final energy, eV/atom: -3.8856
Energy above the most stable polymorph in this dataset, eV per atom: 0.000
Uncorrected formation energy, meV per atom: 271.5
Fermi-level density of states, states/eV/f.u.: 1.56

---

No. 3
Entry from the Alexandria database: crystalline YMn3Ir at its relaxed geometry (GGA-PBE).

Cell and atoms, written as extended XYZ:
```
5
Lattice="4.800 0.000 0.000 0.000 4.800 0.000 0.000 0.000 4.800" Properties=species:S:1:pos:R:3 pbc="T T T"
Y 0.000 0.000 0.000
Mn 0.000 2.400 2.400
Mn 2.400 0.000 2.400
Mn 2.400 2.400 0.000
Ir 2.400 2.400 2.400
```

Values from the calculation:
Final energy, eV/atom: -8.0245
Energy above the most stable polymorph in this dataset, eV per atom: 0.000
Fermi-level density of states, states/eV/f.u.: 4.24